Density functional theory data (PBE) for a relaxed Pm3CuSe2 crystal.

Cell and atoms, written as CIF:
```
data_Pm3CuSe2
_chemical_formula_sum 'Pm12 Cu4 Se8'
_symmetry_space_group_name_H-M 'P n m a'
_symmetry_Int_Tables_number 62
_cell_length_a 8.4255
_cell_length_b 5.9250
_cell_length_c 12.5044
_cell_angle_alpha 90.00
_cell_angle_beta 90.00
_cell_angle_gamma 90.00
loop_
_symmetry_equiv_pos_as_xyz
'x,y,z'
'-x,-y,-z'
'-x+1/2,-y,z+1/2'
'x+1/2,y,-z+1/2'
'x+1/2,-y+1/2,-z+1/2'
'-x+1/2,y+1/2,z+1/2'
'-x,y+1/2,-z'
'x,-y+1/2,z'
loop_
_atom_site_label
_atom_site_type_symbol
_atom_site_fract_x
_atom_site_fract_y
_atom_site_fract_z
Pm1 Pm 0.1202 0.2500 0.0792
Pm2 Pm 0.1250 0.2500 0.4138
Pm3 Pm 0.1314 0.2500 0.7477
Cu1 Cu 0.1215 0.7500 0.0854
Se1 Se 0.1215 0.7500 0.4169
Se2 Se 0.1266 0.7500 0.7475
```

## Properties
Final energy, eV per atom: -5.474
Raw formation energy, eV per formula unit: -7.5
Theoretical density, g/cm³: 7.0
Crystal system: orthorhombic

Density functional theory data (PBE) for a relaxed PmCuSe crystal.

Cell and atoms, written as CIF:
```
data_PmCuSe
_chemical_formula_sum 'Pm4 Cu4 Se4'
_symmetry_space_group_name_H-M 'P 1 21/c 1'
_symmetry_Int_Tables_number 14
_cell_length_a 6.0001
_cell_length_b 5.8494
_cell_length_c 7.6949
_cell_angle_alpha 90.00
_cell_angle_beta 92.14
_cell_angle_gamma 90.00
loop_
_symmetry_equiv_pos_as_xyz
'x,y,z'
'-x,-y,-z'
'-x,y+1/2,-z+1/2'
'x,-y+1/2,z+1/2'
loop_
_atom_site_label
_atom_site_type_symbol
_atom_site_fract_x
_atom_site_fract_y
_atom_site_fract_z
Pm1 Pm 0.2210 0.1241 0.3239
Cu1 Cu 0.1476 0.6202 0.4665
Se1 Se 0.2886 0.6066 0.1763
```

## Properties
Final energy, eV per atom: -5.043
Raw formation energy, eV per formula unit: -2.8
Theoretical density, g/cm³: 7.1
Crystal system: monoclinic

Density functional theory data (PBE) for a relaxed Pm5CuSe4 crystal.

Cell and atoms, written as CIF:
```
data_Pm5CuSe4
_chemical_formula_sum 'Pm10 Cu2 Se8'
_symmetry_space_group_name_H-M 'I 4'
_symmetry_Int_Tables_number 79
_cell_length_a 9.3484
_cell_length_b 9.3484
_cell_length_c 5.9544
_cell_angle_alpha 90.00
_cell_angle_beta 90.00
_cell_angle_gamma 90.00
loop_
_symmetry_equiv_pos_as_xyz
'x,y,z'
'-y,x,z'
'-x,-y,z'
'y,-x,z'
'x+1/2,y+1/2,z+1/2'
'-y+1/2,x+1/2,z+1/2'
'-x+1/2,-y+1/2,z+1/2'
'y+1/2,-x+1/2,z+1/2'
loop_
_atom_site_label
_atom_site_type_symbol
_atom_site_fract_x
_atom_site_fract_y
_atom_site_fract_z
Pm1 Pm 0.0000 0.0000 0.0000
Pm2 Pm 0.1000 0.7048 0.4995
Cu1 Cu 0.0000 0.0000 0.5005
Se1 Se 0.0966 0.6974 0.9995
```

## Properties
Final energy, eV per atom: -5.698
Raw formation energy, eV per formula unit: -15.2
Theoretical density, g/cm³: 7.0
Crystal system: tetragonal